# GaCoNiF6

GaCoNiF6 after structural relaxation (PBE+U, Alexandria via LeMat-Bulk).

Unit cell a=4.8010 b=4.8010 c=9.4391 alpha=90.00 beta=90.00 gamma=90.00
Element x y z (fractional)
1 Ga 0.0000 0.0000 0.0000
2 Ga 0.5000 0.5000 0.5000
3 Co 0.0000 0.0000 0.6664
4 Co 0.5000 0.5000 0.1664
5 Ni 0.0000 0.0000 0.3355
6 Ni 0.5000 0.5000 0.8355
7 F 0.1847 0.1847 0.1603
8 F 0.1968 0.1968 0.8493
9 F 0.2116 0.2116 0.4933
10 F 0.2884 0.7116 0.9933
11 F 0.3032 0.6968 0.3493
12 F 0.3153 0.6847 0.6603
13 F 0.6847 0.3153 0.6603
14 F 0.6968 0.3032 0.3493
15 F 0.7116 0.2884 0.9933
16 F 0.7884 0.7884 0.4933
17 F 0.8032 0.8032 0.8493
18 F 0.8153 0.8153 0.1603

Magnetic moment ... 4.17 μB/f.u.
VASP energy ... -4.516 eV per atom
Density ... 4.60 g/cm3